DFT (PBE) results for an optimized crystal structure of Zn5Cu7.

Computed properties:
Magnetization in μB per formula unit: 0.00
Crystal system: tetragonal
Final energy in eV per atom: -2.81

The structure in extended XYZ format:
```
12
Lattice="6.243 -0.060 0.000 -3.261 5.324 0.000 -1.491 -2.632 5.461" Properties=species:S:1:pos:R:3 pbc="T T T"
Cu -0.935 3.890 2.731
Zn 0.141 0.249 0.000
Zn -0.859 3.593 0.000
Cu 1.834 0.610 4.166
Cu 3.817 1.198 2.731
Zn 3.524 1.110 0.000
Cu -0.420 1.887 4.166
Zn 1.332 2.352 2.519
Cu 1.071 4.518 1.295
Cu 3.325 3.242 1.295
Cu 1.342 2.369 0.000
Zn -0.158 -0.280 2.943
```

DFT (PBE) results for an optimized crystal structure of ZnCu2.

Computed properties:
Magnetization in μB per formula unit: 0.00
Crystal system: monoclinic
Final energy in eV per atom: -3.22

The structure in extended XYZ format:
```
6
Lattice="-1.086 2.434 -0.265 0.013 -0.937 4.889 5.180 2.541 2.115" Properties=species:S:1:pos:R:3 pbc="T T T"
Cu 3.357 2.065 5.218
Zn -0.496 1.481 2.102
Cu 5.144 2.527 2.135
Zn 2.024 1.046 1.313
Cu 2.704 2.994 2.885
Cu 1.346 1.022 3.877
```

DFT (PBE) results for an optimized crystal structure of Zn35Cu17.

Computed properties:
Magnetization in μB per formula unit: 0.00
Crystal system: triclinic
Final energy in eV per atom: -2.29

The structure in extended XYZ format:
```
52
Lattice="-7.206 2.804 -0.390 -4.992 -5.308 2.545 1.100 4.566 11.671" Properties=species:S:1:pos:R:3 pbc="T T T"
Cu -4.806 1.856 -0.241
Cu -3.148 2.272 8.596
Cu -4.448 -0.114 11.635
Zn -6.851 -2.626 6.016
Cu -6.137 1.646 4.358
Cu -3.115 0.059 7.079
Cu -6.310 3.923 5.876
Zn -5.433 -0.346 5.934
Zn -8.161 0.759 2.916
Zn -5.968 5.908 10.268
Zn -3.863 4.340 9.831
Zn -7.614 -2.754 3.501
Zn -1.902 2.115 6.089
Cu -9.082 1.625 11.385
Zn -5.150 0.658 8.615
Zn -7.336 3.087 12.994
Zn -4.554 1.360 2.318
Zn -8.497 2.524 4.842
Zn -3.331 -1.909 5.447
Cu -7.225 -0.791 7.787
Cu -1.229 3.285 9.978
Zn -2.757 1.750 11.265
Zn -9.366 0.585 7.459
Zn -4.492 2.161 6.396
Zn -9.773 -1.284 3.881
Zn -6.836 0.657 12.165
Cu -5.134 -3.133 4.050
Zn -5.288 2.208 10.707
Zn -6.863 3.987 3.402
Zn -0.255 5.081 11.572
Cu -5.749 3.251 8.450
Cu -7.928 -0.222 5.250
Zn -5.964 -0.705 3.402
Zn -6.832 2.382 1.306
Zn -7.047 1.635 6.857
Zn -4.743 -1.877 7.979
Cu -1.945 0.354 2.468
Zn -9.948 3.268 13.189
Zn -2.827 -0.311 9.603
Zn -3.544 -1.568 2.800
Cu -5.775 -2.438 1.515
Zn -4.001 4.643 7.206
Zn -8.183 3.801 7.870
Cu -7.815 5.483 12.170
Zn -6.367 5.697 7.708
Zn -4.317 3.395 4.077
Zn -7.503 3.681 10.392
Cu -3.541 0.655 4.484
Cu -7.504 1.361 9.393
Zn -6.351 -0.118 0.678
Zn -2.621 4.209 12.155
Zn -6.439 -1.069 10.205
```

DFT (PBE) results for an optimized crystal structure of ZnCu2.

Computed properties:
Magnetization in μB per formula unit: 0.00
Crystal system: trigonal
Final energy in eV per atom: -3.19

The structure in extended XYZ format:
```
3
Lattice="6.491 -0.031 -0.019 5.967 2.555 -0.019 5.967 1.209 2.251" Properties=species:S:1:pos:R:3 pbc="T T T"
Zn 0.002 0.000 0.000
Cu 14.355 2.908 1.725
Cu 10.210 2.068 1.227
```

DFT (PBE) results for an optimized crystal structure of Zn3Cu2.

Computed properties:
Magnetization in μB per formula unit: 0.00
Crystal system: trigonal
Final energy in eV per atom: -2.39

The structure in extended XYZ format:
```
10
Lattice="-1.506 -0.064 -4.787 -0.187 -4.339 -2.514 -6.776 -2.339 -0.468" Properties=species:S:1:pos:R:3 pbc="T T T"
Zn -2.869 -1.718 -4.332
Zn -6.257 -2.884 -4.568
Zn -2.210 -3.858 -3.201
Zn -5.504 -2.858 -2.175
Zn -2.964 -3.885 -5.594
Zn -5.599 -5.025 -3.436
Cu -3.258 -1.846 -1.581
Cu -7.492 -5.217 -5.465
Cu -0.976 -1.526 -2.303
Cu -5.210 -4.897 -6.187
```

DFT (PBE) results for an optimized crystal structure of Zn6Cu5.

Computed properties:
Magnetization in μB per formula unit: 0.00
Crystal system: monoclinic
Final energy in eV per atom: -2.62

The structure in extended XYZ format:
```
11
Lattice="7.764 0.000 -0.071 3.882 5.579 -0.035 2.193 0.000 3.431" Properties=species:S:1:pos:R:3 pbc="T T T"
Zn 6.574 1.709 0.684
Zn 10.456 3.871 0.649
Cu 3.882 1.667 -0.035
Zn 3.383 1.709 2.675
Cu 4.978 3.379 1.680
Cu 4.978 0.000 1.680
Zn 7.265 3.871 2.640
Zn 7.722 0.000 2.365
Zn 2.235 0.000 0.995
Cu 7.764 3.912 -0.071
Cu 8.861 2.201 1.645
```

DFT (PBE) results for an optimized crystal structure of Zn2Cu.

Computed properties:
Magnetization in μB per formula unit: 0.00
Crystal system: tetragonal
Final energy in eV per atom: -2.23

The structure in extended XYZ format:
```
6
Lattice="6.211 -8.488 5.526 5.059 -6.486 8.573 -7.209 6.408 -6.936" Properties=species:S:1:pos:R:3 pbc="T T T"
Cu 2.318 -4.783 2.820
Zn 0.881 -2.638 3.266
Zn 4.774 -6.343 5.973
Cu 0.000 0.000 0.000
Zn 6.496 -8.631 8.127
Zn 2.603 -4.926 5.420
```

DFT (PBE) results for an optimized crystal structure of ZnCu2.

Computed properties:
Magnetization in μB per formula unit: 0.00
Crystal system: tetragonal
Final energy in eV per atom: -3.10

The structure in extended XYZ format:
```
6
Lattice="-3.121 -1.265 1.210 1.623 -3.019 1.030 1.162 2.560 5.676" Properties=species:S:1:pos:R:3 pbc="T T T"
Cu 1.625 0.282 4.486
Zn 1.163 -0.734 2.234
Zn -0.750 1.152 4.562
Cu -1.212 0.136 2.309
Cu 0.000 0.000 0.000
Cu -0.749 -2.142 1.120
```

DFT (PBE) results for an optimized crystal structure of ZnCu5.

Computed properties:
Magnetization in μB per formula unit: 0.00
Crystal system: cubic
Final energy in eV per atom: -3.52

The structure in extended XYZ format:
```
6
Lattice="0.000 3.396 3.396 3.396 0.000 3.396 3.396 3.396 0.000" Properties=species:S:1:pos:R:3 pbc="T T T"
Cu 2.547 2.547 4.244
Cu 4.244 2.547 2.547
Cu 2.547 4.244 2.547
Cu 1.698 1.698 1.698
Cu 4.244 4.244 4.244
Zn 0.000 0.000 0.000
```

DFT (PBE) results for an optimized crystal structure of Zn2Cu.

Computed properties:
Magnetization in μB per formula unit: 0.00
Crystal system: cubic
Final energy in eV per atom: -2.11

The structure in extended XYZ format:
```
6
Lattice="-2.298 -3.449 -2.669 -4.706 -1.120 0.947 -3.531 1.295 -3.186" Properties=species:S:1:pos:R:3 pbc="T T T"
Cu -2.634 -0.819 -1.227
Zn -6.585 -2.046 -3.068
Zn -4.231 -1.486 -3.541
Zn -4.819 -2.694 -1.475
Cu 0.000 0.000 0.000
Zn -5.436 -0.322 -1.733
```

DFT (PBE) results for an optimized crystal structure of Zn4Cu3.

Computed properties:
Magnetization in μB per formula unit: 0.00
Crystal system: tetragonal
Final energy in eV per atom: -2.53

The structure in extended XYZ format:
```
7
Lattice="-2.621 -1.543 0.269 1.324 -0.991 -10.121 1.549 -2.631 0.000" Properties=species:S:1:pos:R:3 pbc="T T T"
Cu 1.117 -2.884 -5.662
Zn -1.070 -2.400 -6.865
Zn -0.643 -2.150 -1.271
Zn 1.321 -2.765 -2.988
Cu 0.000 0.000 0.000
Cu -0.866 -2.280 -4.191
Zn 0.895 -3.015 -8.582
```

DFT (PBE) results for an optimized crystal structure of ZnCu3.

Computed properties:
Magnetization in μB per formula unit: 0.00
Crystal system: monoclinic
Final energy in eV per atom: -3.44

The structure in extended XYZ format:
```
4
Lattice="2.661 0.000 0.000 1.331 4.281 -0.009 0.000 -0.820 4.382" Properties=species:S:1:pos:R:3 pbc="T T T"
Cu 2.661 1.526 3.282
Cu 1.331 3.454 4.359
Zn 1.331 1.936 1.091
Cu 1.331 -0.403 2.204
```

DFT (PBE) results for an optimized crystal structure of Zn3Cu4.

Computed properties:
Magnetization in μB per formula unit: 0.00
Crystal system: cubic
Final energy in eV per atom: -2.47

The structure in extended XYZ format:
```
7
Lattice="4.946 0.000 0.000 0.000 4.946 0.000 0.000 0.000 4.946" Properties=species:S:1:pos:R:3 pbc="T T T"
Zn 2.473 2.473 0.000
Cu 0.862 4.085 0.862
Cu 0.862 0.862 4.085
Zn 0.000 2.473 2.473
Cu 4.085 0.862 0.862
Cu 4.085 4.085 4.085
Zn 2.473 0.000 2.473
```

DFT (PBE) results for an optimized crystal structure of Zn2Cu.

Computed properties:
Magnetization in μB per formula unit: 0.00
Crystal system: cubic
Final energy in eV per atom: -2.27

The structure in extended XYZ format:
```
24
Lattice="7.823 0.000 0.000 3.911 6.775 0.000 3.911 2.258 6.387" Properties=species:S:1:pos:R:3 pbc="T T T"
Zn 6.357 1.412 0.398
Zn 5.867 1.129 3.194
Zn 7.823 4.517 3.194
Cu 7.823 2.258 2.281
Zn 3.911 2.824 4.392
Zn 1.466 1.412 0.398
Zn 10.269 3.670 1.995
Zn 11.734 6.209 1.995
Cu 9.220 3.065 4.562
Zn 5.377 5.363 4.392
Zn 9.289 7.621 5.989
Cu 9.220 5.968 1.825
Cu 6.426 3.065 4.562
Cu 6.426 5.968 1.825
Zn 3.911 0.000 0.000
Zn 7.823 5.082 5.989
Zn 7.823 3.951 0.398
Zn 10.269 5.363 4.392
Cu 11.734 7.420 4.562
Zn 5.377 3.670 1.995
Cu 7.823 6.775 4.106
Zn 14.180 7.621 5.989
Cu 3.911 1.613 1.825
Zn 1.956 1.129 3.194
```

DFT (PBE) results for an optimized crystal structure of Zn6Cu.

Computed properties:
Magnetization in μB per formula unit: 0.00
Crystal system: cubic
Final energy in eV per atom: -0.97

The structure in extended XYZ format:
```
7
Lattice="6.035 0.000 0.000 -2.012 5.690 0.000 -2.012 -2.845 4.927" Properties=species:S:1:pos:R:3 pbc="T T T"
Zn 1.006 3.556 1.232
Zn 1.006 -0.711 3.695
Zn 3.017 2.134 1.232
Zn -1.006 0.711 3.695
Cu 0.000 0.000 0.000
Zn -1.006 2.845 2.464
Zn 3.017 0.000 2.464
```

DFT (PBE) results for an optimized crystal structure of Zn4Cu.

Computed properties:
Magnetization in μB per formula unit: 0.00
Crystal system: trigonal
Final energy in eV per atom: -1.78

The structure in extended XYZ format:
```
5
Lattice="0.463 2.593 0.105 -1.221 -1.038 -2.094 -11.135 1.759 5.621" Properties=species:S:1:pos:R:3 pbc="T T T"
Cu 0.000 0.000 0.000
Zn -9.317 2.840 4.025
Zn -6.816 2.445 2.763
Zn -2.576 0.476 -0.394
Zn -5.077 0.871 0.869
```

DFT (PBE) results for an optimized crystal structure of Zn3Cu2.

Computed properties:
Magnetization in μB per formula unit: 0.00
Crystal system: trigonal
Final energy in eV per atom: -2.20

The structure in extended XYZ format:
```
5
Lattice="-2.485 -3.514 0.623 2.658 -2.795 -2.010 2.606 -0.679 3.415" Properties=species:S:1:pos:R:3 pbc="T T T"
Cu 1.858 -3.235 -0.104
Zn 1.233 -0.813 0.329
Cu 0.920 -3.753 2.132
Zn 0.132 -4.832 -1.062
Zn 1.414 -1.343 2.761
```

DFT (PBE) results for an optimized crystal structure of Zn3Cu2.

Computed properties:
Magnetization in μB per formula unit: 0.00
Crystal system: trigonal
Final energy in eV per atom: -2.44

The structure in extended XYZ format:
```
5
Lattice="4.133 0.000 0.000 -2.067 3.580 0.000 0.000 0.000 5.017" Properties=species:S:1:pos:R:3 pbc="T T T"
Zn 0.000 0.000 0.000
Zn 0.000 2.386 1.827
Zn 2.067 1.193 3.190
Cu 0.000 2.386 4.327
Cu 2.067 1.193 0.689
```

DFT (PBE) results for an optimized crystal structure of Zn4Cu.

Computed properties:
Magnetization in μB per formula unit: 0.00
Crystal system: tetragonal
Final energy in eV per atom: -1.86

The structure in extended XYZ format:
```
5
Lattice="-2.110 -1.844 -2.697 1.016 -4.551 -0.487 -1.869 -0.047 4.299" Properties=species:S:1:pos:R:3 pbc="T T T"
Cu 0.000 0.000 0.000
Zn -2.167 -3.878 1.543
Zn -0.797 -2.563 -0.428
Zn -1.350 -1.289 1.938
Zn -1.613 -5.153 -0.823
```

DFT (PBE) results for an optimized crystal structure of Zn4Cu5.

Computed properties:
Magnetization in μB per formula unit: 0.00
Crystal system: tetragonal
Final energy in eV per atom: -2.91

The structure in extended XYZ format:
```
9
Lattice="3.763 0.000 0.000 1.882 5.575 0.000 -1.882 0.000 5.575" Properties=species:S:1:pos:R:3 pbc="T T T"
Cu 1.882 0.000 1.846
Cu 1.882 1.846 0.000
Zn 0.000 1.804 1.804
Cu 3.763 3.729 0.000
Cu 0.000 0.000 3.729
Cu 0.000 0.000 0.000
Zn 1.882 1.804 3.771
Zn 1.882 3.771 1.804
Zn 0.000 3.771 3.771
```